InAg7Hg3: relaxed, PBE-GGA.

Lattice parameters (Å, degrees): 9.7864 9.8618 5.5399 90.00 115.89 90.00
Space group C2/m (No. 12)
Asymmetric unit:
In 0.0000 0.0000 0.0000 [2 per cell]
Ag 0.0000 0.0000 0.5000 [2 per cell]
Ag 0.1782 0.2577 0.1803 [8 per cell]
Ag 0.2219 0.5000 0.5433 [4 per cell]
Hg 0.0000 0.2943 0.5000 [4 per cell]
Hg 0.0000 0.5000 0.0000 [2 per cell]

Crystal system: monoclinic
Formation energy, eV per atom: 0.147

Ce2DyPt2: relaxed, PBE-GGA.

Lattice parameters (Å, degrees): 7.9168 7.9168 3.9028 90.00 90.00 90.00
Space group P4/mbm (No. 127)
Asymmetric unit:
Ce 0.1655 0.3345 0.0000 [4 per cell]
Dy 0.0000 0.0000 0.5000 [2 per cell]
Pt 0.1367 0.6367 0.5000 [4 per cell]

Crystal system: tetragonal
E above lowest polymorph, eV per atom: 0.000
Formation energy, eV per atom: -0.928

TcPW: relaxed, PBE-GGA.

Lattice parameters (Å, degrees): 5.0813 9.6103 7.0955 90.00 90.00 90.00
Space group Cmce (No. 64)
Asymmetric unit:
Tc 0.0000 0.1171 0.1206 [8 per cell]
P 0.0000 0.1562 0.4460 [8 per cell]
W 0.2500 0.1307 0.7500 [8 per cell]

Crystal system: orthorhombic
E above lowest polymorph, eV per atom: 0.018
Formation energy, eV per atom: -0.192

Pm4NiPd2: relaxed, PBE-GGA.

Lattice parameters (Å, degrees): 5.2046 5.2046 14.4856 90.00 90.00 90.00
Space group I4/mmm (No. 139)
Asymmetric unit:
Pm 0.0000 0.0000 0.1940 [4 per cell]
Pm 0.0000 0.5000 0.0000 [4 per cell]
Ni 0.0000 0.0000 0.0000 [2 per cell]
Pd 0.0000 0.0000 0.3857 [4 per cell]

Crystal system: tetragonal
E above lowest polymorph, eV per atom: 0.205
Formation energy, eV per atom: -0.293

Ca2HgPt: relaxed, PBE-GGA.

Lattice parameters (Å, degrees): 4.2678 4.2678 21.7571 90.00 90.00 120.00
Space group R3m (No. 160, hexagonal axes)
Asymmetric unit:
Ca 0.0000 0.0000 0.0000 [3 per cell]
Ca 0.0000 0.0000 0.1967 [3 per cell]
Hg 0.0000 0.0000 0.7611 [3 per cell]
Pt 0.0000 0.0000 0.6015 [3 per cell]

Crystal system: trigonal
Formation energy, eV per atom: -0.618

InFe2Si: relaxed, PBE-GGA.

Lattice parameters (Å, degrees): 2.9391 2.9391 24.5453 90.00 90.00 120.00
Space group R3m (No. 160, hexagonal axes)
Asymmetric unit:
In 0.0000 0.0000 0.0000 [3 per cell]
Fe 0.0000 0.0000 0.2416 [3 per cell]
Fe 0.0000 0.0000 0.5039 [3 per cell]
Si 0.0000 0.0000 0.7687 [3 per cell]

Crystal system: trigonal
E_form (uncorrected), eV per atom: 0.2732

Pm2GeBi: relaxed, PBE-GGA.

Lattice parameters (Å, degrees): 7.6743 7.6743 7.6743 90.00 90.00 90.00
Space group Fm-3m (No. 225)
Asymmetric unit:
Pm 0.2500 0.2500 0.2500 [8 per cell]
Ge 0.0000 0.0000 0.0000 [4 per cell]
Bi 0.0000 0.0000 0.5000 [4 per cell]

Crystal system: cubic
E above lowest polymorph, eV per atom: 0.274
Formation energy, eV per atom: -0.548

AlTl2Ir: relaxed, PBE-GGA.

Lattice parameters (Å, degrees): 7.3516 4.2048 6.5200 90.00 110.17 90.00
Space group Cm (No. 8)
Asymmetric unit:
Al 0.0000 0.0000 0.0000 [2 per cell]
Tl 0.2285 0.0000 0.6813 [2 per cell]
Tl 0.4337 0.0000 0.3163 [2 per cell]
Ir 0.1717 0.5000 0.0106 [2 per cell]

Crystal system: monoclinic
E above lowest polymorph, eV per atom: 0.116
Formation energy, eV per atom: 0.050

Cs2TlInS4: relaxed, PBE-GGA.

Lattice parameters (Å, degrees): 6.6286 14.8302 24.2104 90.00 90.00 90.00
Space group Fddd (No. 70, origin choice 2)
Asymmetric unit:
Cs 0.1250 0.1250 0.3058 [16 per cell]
Tl 0.1250 0.1250 0.6250 [8 per cell]
In 0.1250 0.1250 0.1250 [8 per cell]
S 0.1145 0.2793 0.4287 [32 per cell]

Crystal system: orthorhombic
E_form (uncorrected), eV per atom: -0.7649

NiC: relaxed, PBE-GGA.

Lattice parameters (Å, degrees): 2.6802 2.6802 12.2842 90.00 90.00 90.00
Space group I4_1/amd (No. 141, origin choice 2)
Asymmetric unit:
Ni 0.0000 0.2500 0.3750 [4 per cell]
C 0.0000 0.2500 0.8750 [4 per cell]

Crystal system: tetragonal
Formation energy, eV per atom: 1.224

Be2SiSe4: relaxed, PBE-GGA.

Lattice parameters (Å, degrees): 5.3071 5.3071 10.2114 90.00 90.00 90.00
Space group I-42m (No. 121)
Asymmetric unit:
Be 0.0000 0.5000 0.2500 [4 per cell]
Si 0.0000 0.0000 0.0000 [2 per cell]
Se 0.2439 0.2439 0.6258 [8 per cell]

Crystal system: tetragonal
E_form (uncorrected), eV per atom: -0.6047

CrReTc: relaxed, PBE-GGA.

Lattice parameters (Å, degrees): 5.7303 5.7303 5.7303 90.00 90.00 90.00
Space group F-43m (No. 216)
Asymmetric unit:
Cr 0.0000 0.0000 0.0000 [4 per cell]
Re 0.2500 0.2500 0.7500 [4 per cell]
Tc 0.2500 0.2500 0.2500 [4 per cell]

Crystal system: cubic
E above lowest polymorph, eV per atom: 0.506
Formation energy, eV per atom: 0.606

What did the first record say?
InAg7Hg3: relaxed, PBE-GGA.

Lattice parameters (Å, degrees): 9.7864 9.8618 5.5399 90.00 115.89 90.00
Space group C2/m (No. 12)
Asymmetric unit:
In 0.0000 0.0000 0.0000 [2 per cell]
Ag 0.0000 0.0000 0.5000 [2 per cell]
Ag 0.1782 0.2577 0.1803 [8 per cell]
Ag 0.2219 0.5000 0.5433 [4 per cell]
Hg 0.0000 0.2943 0.5000 [4 per cell]
Hg 0.0000 0.5000 0.0000 [2 per cell]

Crystal system: monoclinic
Formation energy, eV per atom: 0.147